# PBE Mo2RuPt, relaxed
# Offset from the most stable computed form, meV/atom: 106
# Formation energy, meV/atom: -91.1
# Magnetization, μB/f.u.: 0.000
data_Mo2RuPt
_space_group_name_H-M_alt 'I -4 m 2'
_space_group_IT_number 119
_space_group_name_Hall 'I -4 -2'
_cell_length_a 3.950
_cell_length_b 3.950
_cell_length_c 7.792
_cell_angle_alpha 90.00
_cell_angle_beta 90.00
_cell_angle_gamma 90.00
loop_
_atom_site_label
_atom_site_fract_x
_atom_site_fract_y
_atom_site_fract_z
Mo1 0.000 0.000 0.000
Mo2 0.000 0.500 0.250
Ru1 0.000 0.500 0.750
Pt1 0.000 0.000 0.500